Compound: Tb8Nd6Ho
Source: Alexandria via LeMat-Bulk
Functional: GGA-PBE
Structure: relaxed

Calculated values
ΔE_f: 175.4 meV/atom
E_tot: -67.60 eV per cell

abc: 9.4280 9.4280 6.5744
angles: 90.00 90.00 120.00
Closest atoms and distances in Å follow each position.
Space group P-3 (No. 147)
Unique sites:
Tb 0.0925 0.4371 0.1579 x6  1 Tb 3.29, 4 Nd 3.29-3.56
Tb 0.3333 0.6667 0.6191 x2  3 Nd 3.29
Nd 0.0329 0.2865 0.6653 x6  5 Tb 3.29-3.56, 2 Nd 3.36, 1 Ho 3.38
Ho 0.0000 0.0000 0.0000 x1  6 Nd 3.38